Record 1
# Li3SeI

A relaxed structure of Li3SeI (PBE, the Alexandria database).

Calculated values
The density of states at the Fermi level is 0.000 states/eV/f.u. The value obtained for the total moment is 0.00 μB per atom. The calculation puts the formation energy from raw total energies at -1.190 eV per atom. The value obtained for the energy above the most stable polymorph in this dataset is 0 meV per atom.

Lattice parameters (Å, degrees): 4.160 6.529 8.782 90.00 103.70 90.00
Fractional coordinates of all 10 atoms:
I: 0.940 0.009 0.880
I: 0.060 0.509 0.120
Li: 0.552 0.176 0.104
Li: 0.448 0.676 0.896
Li: 0.185 0.802 0.370
Li: 0.802 0.768 0.605
Li: 0.815 0.302 0.630
Li: 0.198 0.268 0.395
Se: 0.307 0.540 0.615
Se: 0.693 0.040 0.385

=====

Record 2
# CrSbAu2

A relaxed structure of CrSbAu2 (PBE, the Alexandria database).

Calculated values
The density of states at the Fermi level is 1.554 states/eV/f.u. The value obtained for the total moment is 0.89 μB per atom. The calculation puts the formation energy from raw total energies at 0.133 eV per atom.

Lattice parameters (Å, degrees): 3.853 3.151 6.688 76.20 90.00 90.00
Each line ends with the local moment (μB).
Fractional coordinates of all 4 atoms:
Au: 0.000 0.793 0.040  0.01
Au: 0.500 0.180 0.264  0.04
Sb: 0.500 0.956 0.711  -0.09
Cr: 0.000 0.571 0.484  3.39